{
  "formula": "YGeF2",
  "functional": "PBE",
  "state": "relaxed",
  "de_polymorph_mev_per_atom": 34,
  "magmom_total_mub_per_fu": 0.329,
  "raw_formation_energy_ev_per_atom": -2.023,
  "dos_ef_per_ev_cell": 2.13,
  "total_energy_ev_per_cell": -22.91,
  "vol_a3_per_atom": 21.950,
  "cell": [[-6.2362, -7.0248, 3.2508], [-3.5473, -7.9805, 4.7470], [-5.4105, -5.7118, 6.0751]],
  "species": ["F", "F", "Y", "Ge"],
  "fractional_positions": [[0.8803, 0.8803, 0.8803], [0.1197, 0.1197, 0.1197], [0.5000, 0.5000, 0.5000], [0.0000, 0.0000, 0.0000]]
}

***

{
  "formula": "YGeF2",
  "functional": "PBE",
  "state": "relaxed",
  "de_polymorph_mev_per_atom": 0,
  "magmom_total_mub_per_fu": 0.621,
  "raw_formation_energy_ev_per_atom": -2.057,
  "dos_ef_per_ev_cell": 6.21,
  "total_energy_ev_per_cell": -46.10,
  "vol_a3_per_atom": 18.404,
  "cell": [[-4.1404, -1.3429, 0.5773], [1.4541, -3.6072, 2.0381], [-1.6024, 1.2000, 7.9971]],
  "species": ["Y", "Y", "Ge", "Ge", "F", "F", "F", "F"],
  "fractional_positions": [[0.7500, 0.2500, 0.5000], [0.0000, 0.0000, 0.0000], [0.5000, 0.5000, 0.0000], [0.2500, 0.7500, 0.5000], [0.0325, 0.6250, 0.2500], [0.8750, 0.9675, 0.7500], [0.7175, 0.1250, 0.2500], [0.3750, 0.2825, 0.7500]]
}

***

{
  "formula": "ZnGe3F",
  "functional": "PBE",
  "state": "relaxed",
  "de_polymorph_mev_per_atom": 254,
  "magmom_total_mub_per_fu": 0.000,
  "raw_formation_energy_ev_per_atom": 0.342,
  "dos_ef_per_ev_cell": 3.69,
  "total_energy_ev_per_cell": -15.29,
  "vol_a3_per_atom": 22.551,
  "cell": [[4.8311, 0.0000, 0.0000], [0.0000, 4.8311, 0.0000], [0.0000, 0.0000, 4.8311]],
  "species": ["Ge", "Ge", "Ge", "F", "Zn"],
  "fractional_positions": [[0.5000, 0.0000, 0.0000], [0.0000, 0.0000, 0.5000], [0.0000, 0.5000, 0.0000], [0.5000, 0.5000, 0.5000], [0.0000, 0.0000, 0.0000]]
}

***

{
  "formula": "Zn3GeF",
  "functional": "PBE",
  "state": "relaxed",
  "de_polymorph_mev_per_atom": 0,
  "magmom_total_mub_per_fu": 0.000,
  "raw_formation_energy_ev_per_atom": -0.094,
  "dos_ef_per_ev_cell": 1.07,
  "total_energy_ev_per_cell": -10.78,
  "vol_a3_per_atom": 23.144,
  "cell": [[-0.8489, -4.6754, -1.0801], [4.1282, -0.1524, -2.5848], [2.4461, -1.3653, 3.9873]],
  "species": ["Zn", "Zn", "Zn", "Ge", "F"],
  "fractional_positions": [[0.0000, 0.5000, 0.0000], [0.0000, 0.0000, 0.5000], [0.5000, 0.0000, 0.0000], [0.0000, 0.0000, 0.0000], [0.5000, 0.5000, 0.5000]]
}

***

{
  "formula": "Zn2GeF",
  "functional": "PBE",
  "state": "relaxed",
  "de_polymorph_mev_per_atom": 0,
  "magmom_total_mub_per_fu": 0.000,
  "raw_formation_energy_ev_per_atom": -0.516,
  "dos_ef_per_ev_cell": 1.42,
  "total_energy_ev_per_cell": -22.20,
  "vol_a3_per_atom": 19.688,
  "cell": [[-1.8267, 4.7348, 1.2820], [-3.8487, -0.5352, -3.5071], [-6.1778, -0.2795, 2.9159]],
  "species": ["Zn", "Zn", "Zn", "Zn", "F", "F", "Ge", "Ge"],
  "fractional_positions": [[0.8750, 0.8331, 0.7500], [0.3750, 0.4169, 0.7500], [0.1669, 0.6250, 0.2500], [0.5831, 0.1250, 0.2500], [0.2500, 0.7500, 0.5000], [0.5000, 0.5000, 0.0000], [0.0000, 0.0000, 0.0000], [0.7500, 0.2500, 0.5000]]
}

***

{
  "formula": "ZnGeF",
  "functional": "PBE",
  "state": "relaxed",
  "magmom_total_mub_per_fu": 0.000,
  "raw_formation_energy_ev_per_atom": -0.890,
  "dos_ef_per_ev_cell": 0.17,
  "total_energy_ev_per_cell": -20.86,
  "vol_a3_per_atom": 16.843,
  "cell": [[-1.3123, 0.8886, -4.0628], [-2.8736, -1.8833, 2.8568], [0.6084, 6.3643, 1.1954]],
  "species": ["Zn", "Zn", "Ge", "Ge", "F", "F"],
  "fractional_positions": [[0.8780, 0.7559, 0.9729], [0.5961, 0.1922, 0.1874], [0.8665, 0.7331, 0.5819], [0.1193, 0.2386, 0.4105], [0.3163, 0.6326, 0.0336], [0.5999, 0.1997, 0.8850]]
}

***

{
  "formula": "Zn3GeF8",
  "functional": "PBE",
  "state": "relaxed",
  "magmom_total_mub_per_fu": 0.000,
  "raw_formation_energy_ev_per_atom": -2.210,
  "dos_ef_per_ev_cell": 0.00,
  "total_energy_ev_per_cell": -49.93,
  "vol_a3_per_atom": 15.964,
  "cell": [[3.9579, 0.0000, -1.1654], [-0.7471, 8.0915, -2.5373], [-0.2879, -0.7610, 6.3259]],
  "species": ["F", "F", "F", "F", "F", "F", "F", "F", "Zn", "Zn", "Zn", "Ge"],
  "fractional_positions": [[0.5832, 0.3486, 0.1664], [0.5799, 0.9552, 0.1599], [0.7835, 0.7978, 0.5670], [0.8602, 0.2752, 0.7204], [0.2138, 0.2309, 0.4275], [0.4460, 0.5505, 0.8921], [0.3649, 0.0322, 0.7297], [0.1470, 0.7323, 0.2939], [0.6032, 0.7413, 0.2065], [0.4044, 0.2952, 0.8088], [0.6776, 0.2132, 0.3553], [0.3346, 0.7973, 0.6691]]
}

***

{
  "formula": "Zn2GeF6",
  "functional": "PBE",
  "state": "relaxed",
  "magmom_total_mub_per_fu": 0.000,
  "raw_formation_energy_ev_per_atom": -2.201,
  "dos_ef_per_ev_cell": 0.00,
  "total_energy_ev_per_cell": -38.21,
  "vol_a3_per_atom": 13.403,
  "cell": [[4.8260, 0.0000, 0.0000], [0.0000, 4.6525, -2.6861], [0.0000, 0.0000, 5.3723]],
  "species": ["Zn", "Zn", "F", "F", "F", "F", "F", "F", "Ge"],
  "fractional_positions": [[0.5000, 0.3333, 0.6667], [0.5000, 0.6667, 0.3333], [0.2711, 0.3485, 0.3485], [0.7289, 0.6515, 0.6515], [0.2711, 0.0000, 0.6514], [0.7289, 0.0000, 0.3486], [0.2711, 0.6514, 0.0000], [0.7289, 0.3486, 0.0000], [0.0000, 0.0000, 0.0000]]
}

***

{
  "formula": "ZnGeF2",
  "functional": "PBE",
  "state": "relaxed",
  "de_polymorph_mev_per_atom": 0,
  "magmom_total_mub_per_fu": 0.000,
  "raw_formation_energy_ev_per_atom": -1.276,
  "dos_ef_per_ev_cell": 0.61,
  "total_energy_ev_per_cell": -14.74,
  "vol_a3_per_atom": 12.989,
  "cell": [[1.6431, 0.0000, 7.4072], [-0.8216, 1.4230, 7.4072], [-0.8216, -1.4230, 7.4072]],
  "species": ["Zn", "F", "F", "Ge"],
  "fractional_positions": [[0.5000, 0.5000, 0.5000], [0.0932, 0.0932, 0.0932], [0.9068, 0.9068, 0.9068], [0.0000, 0.0000, 0.0000]]
}

***

{
  "formula": "Zn3GeF",
  "functional": "PBE",
  "state": "relaxed",
  "de_polymorph_mev_per_atom": 21,
  "magmom_total_mub_per_fu": 0.000,
  "raw_formation_energy_ev_per_atom": -0.073,
  "dos_ef_per_ev_cell": 2.14,
  "total_energy_ev_per_cell": -10.68,
  "vol_a3_per_atom": 17.225,
  "cell": [[-0.2601, 4.2546, 1.1546], [-4.0942, -0.6620, 1.5171], [1.6347, -0.9811, 3.9834]],
  "species": ["Zn", "Zn", "Zn", "Ge", "F"],
  "fractional_positions": [[0.0000, 0.0000, 0.5000], [0.5000, 0.0000, 0.0000], [0.0000, 0.5000, 0.0000], [0.5000, 0.5000, 0.5000], [0.0000, 0.0000, 0.0000]]
}

***

{
  "formula": "ZnGeF2",
  "functional": "PBE",
  "state": "relaxed",
  "de_polymorph_mev_per_atom": 233,
  "magmom_total_mub_per_fu": 0.000,
  "raw_formation_energy_ev_per_atom": -1.044,
  "dos_ef_per_ev_cell": 1.35,
  "total_energy_ev_per_cell": -27.62,
  "vol_a3_per_atom": 16.397,
  "cell": [[5.4469, 0.0000, 0.0000], [0.0000, 5.4469, 0.0000], [2.7235, 2.7235, 4.4212]],
  "species": ["F", "F", "F", "F", "Zn", "Zn", "Ge", "Ge"],
  "fractional_positions": [[0.8750, 0.7670, 0.7500], [0.2330, 0.6250, 0.2500], [0.3750, 0.4830, 0.7500], [0.5170, 0.1250, 0.2500], [0.5000, 0.5000, 0.0000], [0.2500, 0.7500, 0.5000], [0.0000, 0.0000, 0.0000], [0.7500, 0.2500, 0.5000]]
}

***

{
  "formula": "Zn2GeF",
  "functional": "PBE",
  "state": "relaxed",
  "de_polymorph_mev_per_atom": 176,
  "magmom_total_mub_per_fu": 0.000,
  "raw_formation_energy_ev_per_atom": -0.339,
  "dos_ef_per_ev_cell": 3.72,
  "total_energy_ev_per_cell": -10.39,
  "vol_a3_per_atom": 15.409,
  "cell": [[0.0000, 3.1352, 3.1352], [3.1352, 0.0000, 3.1352], [3.1352, 3.1352, 0.0000]],
  "species": ["Ge", "Zn", "Zn", "F"],
  "fractional_positions": [[0.5000, 0.5000, 0.5000], [0.2500, 0.2500, 0.2500], [0.7500, 0.7500, 0.7500], [0.0000, 0.0000, 0.0000]]
}